1.
Density functional theory data (PBE) for a relaxed InGa2SnH crystal.

Unit cell a=4.4041 b=4.4041 c=5.0635 alpha=90.00 beta=90.00 gamma=90.00
Closest atoms and distances in Å follow each position.
Atoms (fractional coordinates):
In 0.0000 0.0000 0.0000  2 H 2.53
Ga 0.0000 0.5000 0.5000  2 H 2.20
Ga 0.5000 0.0000 0.5000  2 H 2.20
Sn 0.5000 0.5000 0.0000  4 In 3.11, 8 Ga 3.36
H 0.0000 0.0000 0.5000  4 Ga 2.20

## Properties
As for the total energy: -3.032 eV/atom.



2.
Density functional theory data (PBE) for a relaxed Hf2CoPd2 crystal.

Unit cell a=7.2238 b=7.2238 c=3.3618 alpha=90.00 beta=90.00 gamma=90.00
Closest atoms and distances in Å follow each position.
Atoms (fractional coordinates):
Hf 0.1756 0.3244 0.0000  6 Pd 2.60-2.80
Hf 0.3244 0.8244 0.0000  6 Pd 2.60-2.80
Hf 0.6756 0.1756 0.0000  6 Pd 2.60-2.80
Hf 0.8244 0.6756 0.0000  6 Pd 2.60-2.80
Co 0.0000 0.0000 0.5000  4 Pd 2.83, 8 Hf 3.15
Co 0.5000 0.5000 0.5000  4 Pd 2.83, 8 Hf 3.15
Pd 0.1308 0.6308 0.5000  6 Hf 2.60-2.80, 1 Pd 2.67, 2 Co 2.83
Pd 0.3692 0.1308 0.5000  6 Hf 2.60-2.80, 1 Pd 2.67, 2 Co 2.83
Pd 0.6308 0.8692 0.5000  6 Hf 2.60-2.80, 1 Pd 2.67, 2 Co 2.83
Pd 0.8692 0.3692 0.5000  6 Hf 2.60-2.80, 1 Pd 2.67, 2 Co 2.83

## Properties
Its polymorph energy (0 for the lowest one) is 178 meV/atom. For the formation energy from the elements, the calculation gives -314.2 meV per atom.



3.
Density functional theory data (PBE) for a relaxed KScB2 crystal.

Unit cell a=4.5542 b=4.5542 c=4.5542 alpha=60.00 beta=60.00 gamma=60.00
Closest atoms and distances in Å follow each position.
Atoms (fractional coordinates):
K 0.0000 0.0000 0.0000  8 B 2.79
Sc 0.5000 0.5000 0.5000  8 B 2.79
B 0.2500 0.2500 0.2500  4 K 2.79, 4 Sc 2.79
B 0.7500 0.7500 0.7500  4 K 2.79, 4 Sc 2.79

## Properties
Its polymorph energy (0 for the lowest one) is 117 meV/atom. For the formation energy from the elements, the calculation gives 1312.6 meV per atom.



4.
Density functional theory data (PBE) for a relaxed BaTb4Zn5 crystal.

Unit cell a=3.6496 b=3.6496 c=18.5908 alpha=90.00 beta=90.00 gamma=90.00
Closest atoms and distances in Å follow each position.
Atoms (fractional coordinates):
Ba 0.0000 0.0000 0.0000  8 Zn 3.52, 4 Ba 3.65
Tb 0.0000 0.0000 0.2169  8 Zn 3.06-3.11
Tb 0.0000 0.0000 0.4061  8 Zn 3.12-3.13
Tb 0.0000 0.0000 0.5939  8 Zn 3.12-3.13
Tb 0.0000 0.0000 0.7831  8 Zn 3.06-3.11
Zn 0.5000 0.5000 0.1287  4 Tb 3.06, 1 Zn 3.38
Zn 0.5000 0.5000 0.3104  8 Tb 3.11-3.13, 1 Zn 3.38
Zn 0.5000 0.5000 0.5000  8 Tb 3.12
Zn 0.5000 0.5000 0.6896  8 Tb 3.11-3.13, 1 Zn 3.38
Zn 0.5000 0.5000 0.8713  4 Tb 3.06, 1 Zn 3.38

## Properties
For the formation energy from the elements, the calculation gives -284.0 meV per atom.



5.
Density functional theory data (PBE) for a relaxed TiGaSiF2 crystal.

Unit cell a=3.7480 b=3.7480 c=6.5344 alpha=90.00 beta=90.00 gamma=90.00
Closest atoms and distances in Å follow each position.
Atoms (fractional coordinates):
Ti 0.0000 0.0000 0.0000  4 Si 2.65
Ga 0.0000 0.0000 0.5000  4 F 1.87
Si 0.5000 0.5000 0.0000  4 Ti 2.65
F 0.0000 0.5000 0.5000  2 Ga 1.87
F 0.5000 0.0000 0.5000  2 Ga 1.87

## Properties
For the formation energy without anion corrections, the calculation gives -4.09 eV per formula unit.